# PmFe3C2

A geometry-optimized PmFe3C2 structure (PBE, Alexandria via LeMat-Bulk).

Crystal system: monoclinic
E_form, eV per atom: -0.012
Space group: C2/m (12)
Size of the total moment, μB per formula unit: 2.88
Volume, Å³/atom: 11.69

Unit cell a=6.290 b=6.290 c=7.319 alpha=114.42 beta=114.42 gamma=32.45
Atoms (fractional coordinates):
Pm: 0.135 0.135 0.040
Pm: 0.865 0.865 0.960
Fe: 0.062 0.062 0.401
Fe: 0.289 0.289 0.606
Fe: 0.399 0.399 0.329
Fe: 0.601 0.601 0.671
Fe: 0.711 0.711 0.394
Fe: 0.938 0.938 0.599
C: 0.173 0.173 0.714
C: 0.466 0.466 0.747
C: 0.534 0.534 0.253
C: 0.827 0.827 0.286